1.
The following is a DFT calculation (PBE) of a relaxed CoS2Cl crystal.

Cell and atoms, written as CIF:
```
data_CoS2Cl
_chemical_formula_sum 'Co3 S6 Cl3'
_cell_length_a 2.7023
_cell_length_b 2.7023
_cell_length_c 35.8056
_cell_angle_alpha 90.00
_cell_angle_beta 90.00
_cell_angle_gamma 120.00
_space_group_name_H-M_alt 'R -3 m'
_space_group_IT_number 166
_space_group_name_Hall '-R 3 2"'
loop_
_atom_site_label
_atom_site_type_symbol
_atom_site_fract_x
_atom_site_fract_y
_atom_site_fract_z
Co1 Co 0.0000 0.0000 0.0000
S1 S 0.0000 0.0000 0.0591
Cl1 Cl 0.0000 0.0000 0.5000
```

Calculated values
- polymorph energy (0 for the lowest one) (meV per atom) = 718
- V (A^3/atom) = 18.869
- crystal system = trigonal

=====

2.
The following is a DFT calculation (PBE) of a relaxed Co3SCl crystal.

Cell and atoms, written as CIF:
```
data_Co3SCl
_chemical_formula_sum 'Co3 S1 Cl1'
_cell_length_a 4.327
_cell_length_b 4.327
_cell_length_c 4.327
_cell_angle_alpha 90.00
_cell_angle_beta 90.00
_cell_angle_gamma 90.00
_space_group_name_H-M_alt 'P m -3 m'
_space_group_IT_number 221
_space_group_name_Hall '-P 4 2 3'
loop_
_atom_site_label
_atom_site_type_symbol
_atom_site_fract_x
_atom_site_fract_y
_atom_site_fract_z
Co1 Co 0.000 0.000 0.500
S1 S 0.000 0.000 0.000
Cl1 Cl 0.500 0.500 0.500
```

Calculated values
- polymorph energy (0 for the lowest one) (meV per atom) = 0
- V (A^3/atom) = 16.202
- crystal system = cubic

=====

3.
The following is a DFT calculation (PBE) of a relaxed CoS6Cl crystal.

Cell and atoms, written as CIF:
```
data_CoS6Cl
_chemical_formula_sum 'Co2 S12 Cl2'
_cell_length_a 6.091
_cell_length_b 19.210
_cell_length_c 4.656
_cell_angle_alpha 90.00
_cell_angle_beta 120.15
_cell_angle_gamma 90.00
_space_group_name_H-M_alt 'C 1 2/m 1'
_space_group_IT_number 12
_space_group_name_Hall '-C 2y'
loop_
_atom_site_label
_atom_site_type_symbol
_atom_site_fract_x
_atom_site_fract_y
_atom_site_fract_z
Co1 Co 0.000 0.000 0.000
S1 S 0.089 0.500 0.748
S2 S 0.186 0.209 0.119
Cl1 Cl 0.000 0.000 0.500
```

Calculated values
- uncorrected energy (eV per atom) = -4.122
- V (A^3/atom) = 29.443
- crystal system = monoclinic

=====

4.
The following is a DFT calculation (PBE) of a relaxed CoSbSCl2 crystal.

Cell and atoms, written as CIF:
```
data_CoSbSCl2
_chemical_formula_sum 'Co1 Sb1 S1 Cl2'
_cell_length_a 4.524
_cell_length_b 4.524
_cell_length_c 4.681
_cell_angle_alpha 90.00
_cell_angle_beta 90.00
_cell_angle_gamma 90.00
_space_group_name_H-M_alt 'P 4/m m m'
_space_group_IT_number 123
_space_group_name_Hall '-P 4 2'
loop_
_atom_site_label
_atom_site_type_symbol
_atom_site_fract_x
_atom_site_fract_y
_atom_site_fract_z
Co1 Co 0.000 0.000 0.000
Sb1 Sb 0.500 0.500 0.500
S1 S 0.000 0.000 0.500
Cl1 Cl 0.000 0.500 0.000
```

Calculated values
- polymorph energy (0 for the lowest one) (meV per atom) = 0
- V (A^3/atom) = 19.164
- crystal system = tetragonal

=====

5.
The following is a DFT calculation (PBE) of a relaxed CoSbS2Cl crystal.

Cell and atoms, written as CIF:
```
data_CoSbS2Cl
_chemical_formula_sum 'Co1 Sb1 S2 Cl1'
_cell_length_a 4.554
_cell_length_b 4.554
_cell_length_c 4.441
_cell_angle_alpha 90.00
_cell_angle_beta 90.00
_cell_angle_gamma 90.00
_space_group_name_H-M_alt 'P 4/m m m'
_space_group_IT_number 123
_space_group_name_Hall '-P 4 2'
loop_
_atom_site_label
_atom_site_type_symbol
_atom_site_fract_x
_atom_site_fract_y
_atom_site_fract_z
Co1 Co 0.000 0.000 0.000
Sb1 Sb 0.500 0.500 0.500
S1 S 0.000 0.500 0.000
Cl1 Cl 0.000 0.000 0.500
```

Calculated values
- polymorph energy (0 for the lowest one) (meV per atom) = 0
- V (A^3/atom) = 18.417
- crystal system = tetragonal

=====

6.
The following is a DFT calculation (PBE) of a relaxed ScCoSCl2 crystal.

Cell and atoms, written as CIF:
```
data_ScCoSCl2
_chemical_formula_sum 'Sc1 Co1 S1 Cl2'
_cell_length_a 5.211
_cell_length_b 5.211
_cell_length_c 4.779
_cell_angle_alpha 90.00
_cell_angle_beta 90.00
_cell_angle_gamma 90.00
_space_group_name_H-M_alt 'P 4/m m m'
_space_group_IT_number 123
_space_group_name_Hall '-P 4 2'
loop_
_atom_site_label
_atom_site_type_symbol
_atom_site_fract_x
_atom_site_fract_y
_atom_site_fract_z
Sc1 Sc 0.000 0.000 0.000
Co1 Co 0.500 0.500 0.000
S1 S 0.000 0.000 0.500
Cl1 Cl 0.000 0.500 0.500
```

Calculated values
- polymorph energy (0 for the lowest one) (meV per atom) = 1042
- V (A^3/atom) = 25.953
- crystal system = tetragonal

=====

7.
The following is a DFT calculation (PBE) of a relaxed ScCoS2Cl crystal.

Cell and atoms, written as CIF:
```
data_ScCoS2Cl
_chemical_formula_sum 'Sc1 Co1 S2 Cl1'
_cell_length_a 4.965
_cell_length_b 4.965
_cell_length_c 4.796
_cell_angle_alpha 90.00
_cell_angle_beta 90.00
_cell_angle_gamma 90.00
_space_group_name_H-M_alt 'P 4/m m m'
_space_group_IT_number 123
_space_group_name_Hall '-P 4 2'
loop_
_atom_site_label
_atom_site_type_symbol
_atom_site_fract_x
_atom_site_fract_y
_atom_site_fract_z
Sc1 Sc 0.000 0.000 0.000
Co1 Co 0.500 0.500 0.500
S1 S 0.000 0.500 0.000
Cl1 Cl 0.000 0.000 0.500
```

Calculated values
- polymorph energy (0 for the lowest one) (meV per atom) = 248
- V (A^3/atom) = 23.649
- crystal system = tetragonal

=====

8.
The following is a DFT calculation (PBE) of a relaxed ScCoSCl2 crystal.

Cell and atoms, written as CIF:
```
data_ScCoSCl2
_chemical_formula_sum 'Sc1 Co1 S1 Cl2'
_cell_length_a 4.907
_cell_length_b 4.907
_cell_length_c 5.030
_cell_angle_alpha 90.00
_cell_angle_beta 90.00
_cell_angle_gamma 90.00
_space_group_name_H-M_alt 'P 4/m m m'
_space_group_IT_number 123
_space_group_name_Hall '-P 4 2'
loop_
_atom_site_label
_atom_site_type_symbol
_atom_site_fract_x
_atom_site_fract_y
_atom_site_fract_z
Sc1 Sc 0.000 0.000 0.000
Co1 Co 0.500 0.500 0.500
S1 S 0.000 0.000 0.500
Cl1 Cl 0.000 0.500 0.000
```

Calculated values
- polymorph energy (0 for the lowest one) (meV per atom) = 0
- V (A^3/atom) = 24.225
- crystal system = tetragonal

=====

9.
The following is a DFT calculation (PBE) of a relaxed ScCoS2Cl crystal.

Cell and atoms, written as CIF:
```
data_ScCoS2Cl
_chemical_formula_sum 'Sc1 Co1 S2 Cl1'
_cell_length_a 4.512
_cell_length_b 4.512
_cell_length_c 4.344
_cell_angle_alpha 90.00
_cell_angle_beta 90.00
_cell_angle_gamma 90.00
_space_group_name_H-M_alt 'P 4/m m m'
_space_group_IT_number 123
_space_group_name_Hall '-P 4 2'
loop_
_atom_site_label
_atom_site_type_symbol
_atom_site_fract_x
_atom_site_fract_y
_atom_site_fract_z
Sc1 Sc 0.000 0.000 0.000
Co1 Co 0.500 0.500 0.500
S1 S 0.000 0.500 0.500
Cl1 Cl 0.500 0.500 0.000
```

Calculated values
- polymorph energy (0 for the lowest one) (meV per atom) = 0
- V (A^3/atom) = 17.684
- crystal system = tetragonal

=====

10.
The following is a DFT calculation (PBE) of a relaxed ScCoSCl2 crystal.

Cell and atoms, written as CIF:
```
data_ScCoSCl2
_chemical_formula_sum 'Sc1 Co1 S1 Cl2'
_cell_length_a 4.441
_cell_length_b 4.441
_cell_length_c 4.651
_cell_angle_alpha 90.00
_cell_angle_beta 90.00
_cell_angle_gamma 90.00
_space_group_name_H-M_alt 'P 4/m m m'
_space_group_IT_number 123
_space_group_name_Hall '-P 4 2'
loop_
_atom_site_label
_atom_site_type_symbol
_atom_site_fract_x
_atom_site_fract_y
_atom_site_fract_z
Sc1 Sc 0.000 0.000 0.000
Co1 Co 0.500 0.500 0.500
S1 S 0.500 0.500 0.000
Cl1 Cl 0.000 0.500 0.500
```

Calculated values
- polymorph energy (0 for the lowest one) (meV per atom) = 42
- V (A^3/atom) = 18.345
- crystal system = tetragonal

=====

11.
The following is a DFT calculation (PBE) of a relaxed CoSeS2Cl crystal.

Cell and atoms, written as CIF:
```
data_CoSeS2Cl
_chemical_formula_sum 'Co1 Se1 S2 Cl1'
_cell_length_a 4.882
_cell_length_b 4.882
_cell_length_c 4.738
_cell_angle_alpha 90.00
_cell_angle_beta 90.00
_cell_angle_gamma 90.00
_space_group_name_H-M_alt 'P 4/m m m'
_space_group_IT_number 123
_space_group_name_Hall '-P 4 2'
loop_
_atom_site_label
_atom_site_type_symbol
_atom_site_fract_x
_atom_site_fract_y
_atom_site_fract_z
Co1 Co 0.000 0.000 0.000
Se1 Se 0.500 0.500 0.500
S1 S 0.000 0.500 0.500
Cl1 Cl 0.500 0.500 0.000
```

Calculated values
- polymorph energy (0 for the lowest one) (meV per atom) = 505
- V (A^3/atom) = 22.585
- crystal system = tetragonal

=====

12.
The following is a DFT calculation (PBE) of a relaxed CoSeS2Cl crystal.

Cell and atoms, written as CIF:
```
data_CoSeS2Cl
_chemical_formula_sum 'Co1 Se1 S2 Cl1'
_cell_length_a 4.461
_cell_length_b 4.461
_cell_length_c 4.473
_cell_angle_alpha 90.00
_cell_angle_beta 90.00
_cell_angle_gamma 90.00
_space_group_name_H-M_alt 'P 4/m m m'
_space_group_IT_number 123
_space_group_name_Hall '-P 4 2'
loop_
_atom_site_label
_atom_site_type_symbol
_atom_site_fract_x
_atom_site_fract_y
_atom_site_fract_z
Co1 Co 0.000 0.000 0.000
Se1 Se 0.500 0.500 0.500
S1 S 0.000 0.500 0.000
Cl1 Cl 0.000 0.000 0.500
```

Calculated values
- polymorph energy (0 for the lowest one) (meV per atom) = 0
- V (A^3/atom) = 17.806
- crystal system = tetragonal

=====

13.
The following is a DFT calculation (PBE) of a relaxed CoSiSCl2 crystal.

Cell and atoms, written as CIF:
```
data_CoSiSCl2
_chemical_formula_sum 'Co1 Si1 S1 Cl2'
_cell_length_a 4.509
_cell_length_b 4.509
_cell_length_c 4.614
_cell_angle_alpha 90.00
_cell_angle_beta 90.00
_cell_angle_gamma 90.00
_space_group_name_H-M_alt 'P 4/m m m'
_space_group_IT_number 123
_space_group_name_Hall '-P 4 2'
loop_
_atom_site_label
_atom_site_type_symbol
_atom_site_fract_x
_atom_site_fract_y
_atom_site_fract_z
Co1 Co 0.000 0.000 0.000
Si1 Si 0.500 0.500 0.500
S1 S 0.000 0.000 0.500
Cl1 Cl 0.000 0.500 0.000
```

Calculated values
- polymorph energy (0 for the lowest one) (meV per atom) = 0
- V (A^3/atom) = 18.762
- crystal system = tetragonal

=====

14.
The following is a DFT calculation (PBE) of a relaxed Sm4CoSCl2 crystal.

Cell and atoms, written as CIF:
```
data_Sm4CoSCl2
_chemical_formula_sum 'Sm4 Co1 S1 Cl2'
_cell_length_a 7.213
_cell_length_b 3.877
_cell_length_c 7.439
_cell_angle_alpha 90.00
_cell_angle_beta 107.90
_cell_angle_gamma 90.00
_space_group_name_H-M_alt 'P 1 2/m 1'
_space_group_IT_number 10
_space_group_name_Hall '-P 2y'
loop_
_atom_site_label
_atom_site_type_symbol
_atom_site_fract_x
_atom_site_fract_y
_atom_site_fract_z
Sm1 Sm 0.213 0.000 0.204
Sm2 Sm 0.254 0.500 0.788
Co1 Co 0.000 0.500 0.000
S1 S 0.500 0.000 0.000
Cl1 Cl 0.000 0.000 0.500
Cl2 Cl 0.500 0.500 0.500
```

Calculated values
- uncorrected energy (eV per atom) = -5.492
- V (A^3/atom) = 24.742
- crystal system = monoclinic

=====

15.
The following is a DFT calculation (PBE) of a relaxed Sm4CoS2Cl crystal.

Cell and atoms, written as CIF:
```
data_Sm4CoS2Cl
_chemical_formula_sum 'Sm4 Co1 S2 Cl1'
_cell_length_a 7.066
_cell_length_b 3.901
_cell_length_c 7.115
_cell_angle_alpha 90.00
_cell_angle_beta 108.40
_cell_angle_gamma 90.00
_space_group_name_H-M_alt 'P 1 2/m 1'
_space_group_IT_number 10
_space_group_name_Hall '-P 2y'
loop_
_atom_site_label
_atom_site_type_symbol
_atom_site_fract_x
_atom_site_fract_y
_atom_site_fract_z
Sm1 Sm 0.236 0.000 0.227
Sm2 Sm 0.259 0.500 0.770
Co1 Co 0.000 0.500 0.000
S1 S 0.500 0.000 0.000
S2 S 0.500 0.500 0.500
Cl1 Cl 0.000 0.000 0.500
```

Calculated values
- uncorrected energy (eV per atom) = -5.865
- V (A^3/atom) = 23.262
- crystal system = monoclinic

=====

16.
The following is a DFT calculation (PBE) of a relaxed Sm3CoSCl crystal.

Cell and atoms, written as CIF:
```
data_Sm3CoSCl
_chemical_formula_sum 'Sm6 Co2 S2 Cl2'
_cell_length_a 7.680
_cell_length_b 3.760
_cell_length_c 10.589
_cell_angle_alpha 90.00
_cell_angle_beta 109.89
_cell_angle_gamma 90.00
_space_group_name_H-M_alt 'P 1 21/m 1'
_space_group_IT_number 11
_space_group_name_Hall '-P 2yb'
loop_
_atom_site_label
_atom_site_type_symbol
_atom_site_fract_x
_atom_site_fract_y
_atom_site_fract_z
Sm1 Sm 0.044 0.250 0.281
Sm2 Sm 0.247 0.250 0.049
Sm3 Sm 0.361 0.750 0.583
Co1 Co 0.055 0.250 0.543
S1 S 0.340 0.750 0.281
Cl1 Cl 0.347 0.750 0.875
```

Calculated values
- uncorrected energy (eV per atom) = -5.592
- V (A^3/atom) = 23.960
- crystal system = monoclinic

=====

17.
The following is a DFT calculation (PBE) of a relaxed CoSnS2Cl crystal.

Cell and atoms, written as CIF:
```
data_CoSnS2Cl
_chemical_formula_sum 'Co1 Sn1 S2 Cl1'
_cell_length_a 4.543
_cell_length_b 4.543
_cell_length_c 4.683
_cell_angle_alpha 90.00
_cell_angle_beta 90.00
_cell_angle_gamma 90.00
_space_group_name_H-M_alt 'P 4/m m m'
_space_group_IT_number 123
_space_group_name_Hall '-P 4 2'
loop_
_atom_site_label
_atom_site_type_symbol
_atom_site_fract_x
_atom_site_fract_y
_atom_site_fract_z
Co1 Co 0.000 0.000 0.000
Sn1 Sn 0.500 0.500 0.500
S1 S 0.000 0.500 0.000
Cl1 Cl 0.000 0.000 0.500
```

Calculated values
- polymorph energy (0 for the lowest one) (meV per atom) = 0
- V (A^3/atom) = 19.328
- crystal system = tetragonal

=====

18.
The following is a DFT calculation (PBE) of a relaxed SrCoS2Cl crystal.

Cell and atoms, written as CIF:
```
data_SrCoS2Cl
_chemical_formula_sum 'Sr1 Co1 S2 Cl1'
_cell_length_a 4.538
_cell_length_b 4.538
_cell_length_c 4.969
_cell_angle_alpha 90.00
_cell_angle_beta 90.00
_cell_angle_gamma 90.00
_space_group_name_H-M_alt 'P 4/m m m'
_space_group_IT_number 123
_space_group_name_Hall '-P 4 2'
loop_
_atom_site_label
_atom_site_type_symbol
_atom_site_fract_x
_atom_site_fract_y
_atom_site_fract_z
Sr1 Sr 0.000 0.000 0.000
Co1 Co 0.500 0.500 0.500
S1 S 0.000 0.500 0.500
Cl1 Cl 0.500 0.500 0.000
```

Calculated values
- polymorph energy (0 for the lowest one) (meV per atom) = 0
- V (A^3/atom) = 20.466
- crystal system = tetragonal

=====

19.
The following is a DFT calculation (PBE) of a relaxed SrCoS2Cl crystal.

Cell and atoms, written as CIF:
```
data_SrCoS2Cl
_chemical_formula_sum 'Sr1 Co1 S2 Cl1'
_cell_length_a 5.577
_cell_length_b 5.577
_cell_length_c 5.398
_cell_angle_alpha 90.00
_cell_angle_beta 90.00
_cell_angle_gamma 90.00
_space_group_name_H-M_alt 'P 4/m m m'
_space_group_IT_number 123
_space_group_name_Hall '-P 4 2'
loop_
_atom_site_label
_atom_site_type_symbol
_atom_site_fract_x
_atom_site_fract_y
_atom_site_fract_z
Sr1 Sr 0.000 0.000 0.000
Co1 Co 0.500 0.500 0.500
S1 S 0.000 0.500 0.000
Cl1 Cl 0.000 0.000 0.500
```

Calculated values
- polymorph energy (0 for the lowest one) (meV per atom) = 1328
- V (A^3/atom) = 33.582
- crystal system = tetragonal

=====

20.
The following is a DFT calculation (PBE) of a relaxed CoTcSCl2 crystal.

Cell and atoms, written as CIF:
```
data_CoTcSCl2
_chemical_formula_sum 'Co1 Tc1 S1 Cl2'
_cell_length_a 4.549
_cell_length_b 4.549
_cell_length_c 4.596
_cell_angle_alpha 90.00
_cell_angle_beta 90.00
_cell_angle_gamma 90.00
_space_group_name_H-M_alt 'P 4/m m m'
_space_group_IT_number 123
_space_group_name_Hall '-P 4 2'
loop_
_atom_site_label
_atom_site_type_symbol
_atom_site_fract_x
_atom_site_fract_y
_atom_site_fract_z
Co1 Co 0.000 0.000 0.000
Tc1 Tc 0.500 0.500 0.500
S1 S 0.000 0.000 0.500
Cl1 Cl 0.000 0.500 0.000
```

Calculated values
- polymorph energy (0 for the lowest one) (meV per atom) = 0
- V (A^3/atom) = 19.020
- crystal system = tetragonal